Entry from Alexandria: Ag3BO3 after structural relaxation (GGA-PBE).

## Properties
E above lowest polymorph: 68.1 meV per atom
Energy relative to the elements, uncorrected: -0.83 eV/atom

abc: 6.5110 11.2715 5.7889
angles: 90.00 90.00 90.00
Last column: nearest neighbours and their distance in Å.
Space group Cmcm (No. 63)
Inequivalent atoms, fractional coordinates:
Ag 0.0000 0.1669 0.2500 x4  2 O 2.17
Ag 0.2475 0.4163 0.2500 x8  2 O 2.18
B 0.0000 0.3327 0.7500 x4  3 O 1.38
O 0.0000 0.2102 0.7500 x4  1 B 1.38
O 0.1835 0.3941 0.7500 x8  1 B 1.38


Entry from Alexandria: Cd2AgHg after structural relaxation (GGA-PBE).

## Properties
E_form: 0.0003 eV per atom

abc: 3.0656 3.0656 32.2499
angles: 90.00 90.00 120.00
Last column: nearest neighbours and their distance in Å.
Space group R-3m (No. 166, hexagonal axes)
Inequivalent atoms, fractional coordinates:
Cd 0.0000 0.0000 0.2425 x6  3 Ag 3.02, 6 Cd 3.07
Ag 0.0000 0.0000 0.5000 x3  6 Cd 3.02, 6 Ag 3.07
Hg 0.0000 0.0000 0.0000 x3  6 Hg 3.07, 6 Cd 3.42


Entry from Alexandria: La2TlBSb after structural relaxation (GGA-PBE).

## Properties
Energy relative to the elements, uncorrected: 1.20 eV/atom

abc: 6.0294 6.0294 5.4480
angles: 90.00 90.00 90.00
Last column: nearest neighbours and their distance in Å.
Space group P4/mmm (No. 123)
Inequivalent atoms, fractional coordinates:
La 0.0000 0.5000 0.0000 x2  2 Tl 3.01
Tl 0.0000 0.0000 0.0000 x1  2 Sb 2.72, 4 La 3.01
B 0.5000 0.5000 0.5000 x1  8 La 4.06, 4 Sb 4.26
Sb 0.0000 0.0000 0.5000 x1  2 Tl 2.72


| no. | calculated volume (Å³ per atom) |
| --- | --- |
| 1 | 15.17 |
| 2 | 21.87 |
| 3 | 39.61 |